(1)
{
  "formula": "KRb4Na3",
  "functional": "PBE",
  "state": "relaxed",
  "lattice_angstrom": [[14.0832, 0.0000, 0.0000], [0.0000, 11.1852, 0.0000], [0.0000, 0.0000, 6.7526]],
  "species": ["K", "K", "Rb", "Rb", "Rb", "Rb", "Rb", "Rb", "Rb", "Rb", "Na", "Na", "Na", "Na", "Na", "Na"],
  "frac_coords": [[0.0000, 0.1520, 0.0000], [0.5000, 0.8480, 0.5000], [0.0000, 0.4213, 0.4988], [0.0000, 0.8438, 0.4994], [0.2408, 0.8325, 0.9994], [0.2592, 0.1675, 0.4994], [0.5000, 0.1562, 0.9994], [0.5000, 0.5787, 0.9988], [0.7408, 0.1675, 0.4994], [0.7592, 0.8325, 0.9994], [0.0000, 0.6032, 0.9986], [0.2227, 0.4216, 0.9978], [0.2773, 0.5784, 0.4978], [0.5000, 0.3968, 0.4986], [0.7227, 0.5784, 0.4978], [0.7773, 0.4216, 0.9978]],
  "n_ef_per_ev_atom": 0.797,
  "dft_energy_ev_per_fu": -8.7
}

***

(2)
{
  "formula": "SmCo2Tc",
  "functional": "PBE",
  "state": "relaxed",
  "lattice_angstrom": [[2.0430, 1.1795, 4.9480], [-2.0430, 1.1795, 4.9480], [0.0000, -2.3591, 4.9480]],
  "species": ["Sm", "Co", "Co", "Tc"],
  "frac_coords": [[0.0000, 0.0000, 0.0000], [0.1966, 0.1966, 0.1966], [0.8034, 0.8034, 0.8034], [0.5000, 0.5000, 0.5000]],
  "n_ef_per_ev_atom": 1.496,
  "dft_energy_ev_per_fu": -29.2
}

***

(3)
{
  "formula": "Pm8C3I4N",
  "functional": "PBE",
  "state": "relaxed",
  "lattice_angstrom": [[6.6581, -3.8391, 0.0000], [6.6581, 3.8391, 0.0000], [-4.4402, 0.0000, 7.6846]],
  "species": ["Pm", "Pm", "Pm", "Pm", "Pm", "Pm", "Pm", "Pm", "C", "C", "C", "I", "I", "I", "I", "N"],
  "frac_coords": [[0.2227, 0.2227, 0.6708], [0.2226, 0.7255, 0.6707], [0.2745, 0.7774, 0.3293], [0.2757, 0.2757, 0.3272], [0.7243, 0.7243, 0.6728], [0.7255, 0.2226, 0.6707], [0.7774, 0.2745, 0.3293], [0.7773, 0.7773, 0.3292], [0.0000, 0.5000, 0.5000], [0.5000, 0.0000, 0.5000], [0.5000, 0.5000, 0.5000], [0.0000, 0.0000, 0.0000], [0.0000, 0.5000, 0.0000], [0.5000, 0.0000, 0.0000], [0.5000, 0.5000, 0.0000], [0.0000, 0.0000, 0.5000]],
  "n_ef_per_ev_atom": 0.465,
  "dft_energy_ev_per_fu": -93.7,
  "formation_energy_uncorrected_ev_per_atom": -0.845
}

***

(4)
{
  "formula": "BaSrSi2",
  "functional": "PBE",
  "state": "relaxed",
  "lattice_angstrom": [[3.5209, 0.0000, 0.0000], [0.0000, 5.5965, 0.0000], [0.0000, 0.0000, 6.5979]],
  "species": ["Ba", "Sr", "Si", "Si"],
  "frac_coords": [[0.0000, 0.0000, 0.0000], [0.5000, 0.5000, 0.4992], [0.0000, 0.0000, 0.5000], [0.5000, 0.5000, 0.9988]],
  "relative_energy_mev_per_atom": 614,
  "n_ef_per_ev_atom": 1.100,
  "dft_energy_ev_per_fu": -13.7,
  "formation_energy_uncorrected_ev_per_atom": 0.176
}

***

(5)
{
  "formula": "Li2Be2Pd",
  "functional": "PBE",
  "state": "relaxed",
  "lattice_angstrom": [[5.8170, 0.0000, 0.0000], [0.0000, 5.8170, 0.0000], [0.0000, 0.0000, 3.8484]],
  "species": ["Li", "Li", "Li", "Li", "Be", "Be", "Be", "Be", "Pd", "Pd"],
  "frac_coords": [[0.1747, 0.3253, 0.0000], [0.3253, 0.8253, 0.0000], [0.6747, 0.1747, 0.0000], [0.8253, 0.6747, 0.0000], [0.1336, 0.6336, 0.5000], [0.3664, 0.1336, 0.5000], [0.6336, 0.8664, 0.5000], [0.8664, 0.3664, 0.5000], [0.0000, 0.0000, 0.5000], [0.5000, 0.5000, 0.5000]],
  "n_ef_per_ev_atom": 0.412,
  "dft_energy_ev_per_fu": -16.3
}

***

(6)
{
  "formula": "Ba2ReMo",
  "functional": "PBE",
  "state": "relaxed",
  "lattice_angstrom": [[1.5439, 0.8914, 12.0016], [-1.5439, 0.8914, 12.0016], [0.0000, -1.7828, 12.0016]],
  "species": ["Ba", "Ba", "Re", "Mo"],
  "frac_coords": [[0.2482, 0.2482, 0.2482], [0.7518, 0.7518, 0.7518], [0.5000, 0.5000, 0.5000], [0.0000, 0.0000, 0.0000]],
  "relative_energy_mev_per_atom": 1258,
  "n_ef_per_ev_atom": 1.871,
  "dft_energy_ev_per_fu": -20.1
}

***

(7)
{
  "formula": "Pr12Ga2Hg5",
  "functional": "PBE",
  "state": "relaxed",
  "lattice_angstrom": [[8.7937, -3.7021, 0.0000], [8.7937, 3.7021, 0.0000], [-2.2033, 0.0000, 9.8850]],
  "species": ["Pr", "Pr", "Pr", "Pr", "Pr", "Pr", "Pr", "Pr", "Pr", "Pr", "Pr", "Pr", "Ga", "Ga", "Hg", "Hg", "Hg", "Hg", "Hg"],
  "frac_coords": [[0.0116, 0.0116, 0.2929], [0.0748, 0.5790, 0.8932], [0.1070, 0.6003, 0.4208], [0.3997, 0.8930, 0.5792], [0.4210, 0.9252, 0.1068], [0.4743, 0.4743, 0.1781], [0.5257, 0.5257, 0.8219], [0.5790, 0.0748, 0.8932], [0.6003, 0.1070, 0.4208], [0.8930, 0.3997, 0.5792], [0.9252, 0.4210, 0.1068], [0.9884, 0.9884, 0.7071], [0.1734, 0.8266, 0.0000], [0.8266, 0.1734, 0.0000], [0.1685, 0.1685, 0.8486], [0.2030, 0.2030, 0.3694], [0.5000, 0.5000, 0.5000], [0.7970, 0.7970, 0.6306], [0.8315, 0.8315, 0.1514]],
  "n_ef_per_ev_atom": 1.393,
  "dft_energy_ev_per_fu": -68.4
}

***

(8)
{
  "formula": "YZnRe2",
  "functional": "PBE",
  "state": "relaxed",
  "lattice_angstrom": [[-2.0610, 2.0610, 9.5303], [2.0610, -2.0610, 9.5303], [2.0610, 2.0610, -9.5303]],
  "species": ["Y", "Y", "Zn", "Zn", "Re", "Re", "Re", "Re"],
  "frac_coords": [[0.0000, 0.0000, 0.0000], [0.7500, 0.2500, 0.5000], [0.2500, 0.7500, 0.5000], [0.5000, 0.5000, 0.0000], [0.2172, 0.1250, 0.5922], [0.3750, 0.7828, 0.9078], [0.5328, 0.6250, 0.4078], [0.8750, 0.4672, 0.0922]],
  "n_ef_per_ev_atom": 0.877,
  "dft_energy_ev_per_fu": -30.4
}

***

(9)
{
  "formula": "CeCdGa2Pt5",
  "functional": "PBE",
  "state": "relaxed",
  "lattice_angstrom": [[4.1531, 0.0000, 0.0000], [0.0000, 4.1531, 0.0000], [0.0000, 0.0000, 9.5272]],
  "species": ["Ce", "Cd", "Ga", "Ga", "Pt", "Pt", "Pt", "Pt", "Pt"],
  "frac_coords": [[0.0000, 0.0000, 0.0000], [0.0000, 0.0000, 0.5000], [0.5000, 0.5000, 0.3727], [0.5000, 0.5000, 0.6273], [0.0000, 0.5000, 0.2212], [0.0000, 0.5000, 0.7788], [0.5000, 0.0000, 0.2212], [0.5000, 0.0000, 0.7788], [0.5000, 0.5000, 0.0000]],
  "n_ef_per_ev_atom": 0.526,
  "dft_energy_ev_per_fu": -48.8
}

***

(10)
{
  "formula": "AcTm2AlAu4",
  "functional": "PBE",
  "state": "relaxed",
  "lattice_angstrom": [[2.4612, 1.4210, 9.1485], [-2.4612, 1.4210, 9.1485], [0.0000, -2.8419, 9.1485]],
  "species": ["Ac", "Tm", "Tm", "Al", "Au", "Au", "Au", "Au"],
  "frac_coords": [[0.0000, 0.0000, 0.0000], [0.2288, 0.2288, 0.2288], [0.7712, 0.7712, 0.7712], [0.5000, 0.5000, 0.5000], [0.1210, 0.1210, 0.1210], [0.4021, 0.4021, 0.4021], [0.5979, 0.5979, 0.5979], [0.8790, 0.8790, 0.8790]],
  "n_ef_per_ev_atom": 0.581,
  "dft_energy_ev_per_fu": -35.9
}

***

(11)
{
  "formula": "Hf2CuNi",
  "functional": "PBE",
  "state": "relaxed",
  "lattice_angstrom": [[-1.4349, 2.4524, 5.2255], [1.4349, -2.4524, 5.2255], [1.4349, 2.4524, -5.2255]],
  "species": ["Hf", "Hf", "Cu", "Ni"],
  "frac_coords": [[0.2318, 0.2318, 0.0000], [0.7682, 0.7682, 0.0000], [0.5000, 0.5000, 0.0000], [0.0000, 0.0000, 0.0000]],
  "n_ef_per_ev_atom": 0.991,
  "dft_energy_ev_per_fu": -27.2
}

***

(12)
{
  "formula": "TlHg3Au",
  "functional": "PBE",
  "state": "relaxed",
  "lattice_angstrom": [[8.8886, 0.0000, 0.0000], [0.0000, 6.7708, 0.0000], [-6.3603, 0.0000, 9.0306]],
  "species": ["Tl", "Tl", "Tl", "Tl", "Hg", "Hg", "Hg", "Hg", "Hg", "Hg", "Hg", "Hg", "Hg", "Hg", "Hg", "Hg", "Au", "Au", "Au", "Au"],
  "frac_coords": [[0.1130, 0.0145, 0.4144], [0.1130, 0.4855, 0.9144], [0.8870, 0.5145, 0.0856], [0.8870, 0.9855, 0.5856], [0.1452, 0.1280, 0.1348], [0.1452, 0.3720, 0.6348], [0.2567, 0.0196, 0.9079], [0.2567, 0.4804, 0.4079], [0.4279, 0.7235, 0.7810], [0.4279, 0.7765, 0.2810], [0.5721, 0.2235, 0.7190], [0.5721, 0.2765, 0.2190], [0.7433, 0.5196, 0.5921], [0.7433, 0.9804, 0.0921], [0.8548, 0.6280, 0.3652], [0.8548, 0.8720, 0.8652], [0.4801, 0.6714, 0.0647], [0.4801, 0.8286, 0.5647], [0.5199, 0.1714, 0.4353], [0.5199, 0.3286, 0.9353]],
  "relative_energy_mev_per_atom": 0,
  "n_ef_per_ev_atom": 0.296,
  "dft_energy_ev_per_fu": -6.5
}